(1)
Density functional theory data (PBE-GGA) for a relaxed structure of NaSn4Pb4.

a = 7.798 Å, b = 7.798 Å, c = 7.798 Å
α = 95.57°, β = 95.57°, γ = 143.69°
Element x y z (fractional)
Na (0.000, 0.000, 0.000)
Sn (0.000, 0.344, 0.344)
Sn (0.000, 0.656, 0.656)
Sn (0.344, 0.000, 0.344)
Sn (0.656, 0.000, 0.656)
Pb (0.330, 0.330, 0.659)
Pb (0.330, 0.670, 0.000)
Pb (0.670, 0.330, 0.000)
Pb (0.670, 0.670, 0.341)

Summary:
Density   8257 kg/m³
N(E_F)   0.384 states/eV per atom
Magnetic moment   0.00 μB per formula unit
Energy of formation from the pure elements   -0.02 eV/atom

(2)
Density functional theory data (PBE-GGA) for a relaxed structure of NaSn2Pb5.

a = 6.799 Å, b = 6.799 Å, c = 6.799 Å
α = 105.97°, β = 105.97°, γ = 116.72°
Element x y z (fractional)
Na (0.000, 0.000, 0.000)
Sn (0.000, 0.500, 0.500)
Sn (0.500, 0.000, 0.500)
Pb (0.499, 0.499, 0.000)
Pb (0.500, 0.500, 0.500)
Pb (0.500, 0.999, 0.000)
Pb (0.999, 0.500, 0.000)
Pb (0.999, 0.999, 0.500)

Summary:
Density   9007 kg/m³
Energy relative to the lowest polymorph listed for this composition   0.0 meV per atom
N(E_F)   0.462 states/eV per atom
Magnetic moment   0.00 μB per formula unit
Energy of formation from the pure elements   0.00 eV/atom

(3)
Density functional theory data (PBE-GGA) for a relaxed structure of Na3Sn4Pb4.

a = 9.838 Å, b = 9.838 Å, c = 9.838 Å
α = 154.41°, β = 119.53°, γ = 66.74°
Element x y z (fractional)
Na (0.000, 0.000, 0.000)
Na (0.368, 0.868, 0.500)
Na (0.632, 0.132, 0.500)
Sn (0.059, 0.317, 0.742)
Sn (0.426, 0.683, 0.742)
Sn (0.574, 0.317, 0.258)
Sn (0.941, 0.683, 0.258)
Pb (0.195, 0.195, 0.000)
Pb (0.332, 0.500, 0.832)
Pb (0.668, 0.500, 0.168)
Pb (0.805, 0.805, 0.000)

Summary:
Density   6427 kg/m³
N(E_F)   0.474 states/eV per atom
Magnetic moment   0.00 μB per formula unit
Energy of formation from the pure elements   -0.02 eV/atom

(4)
Density functional theory data (PBE-GGA) for a relaxed structure of Na5Sn2Pb5.

a = 5.557 Å, b = 5.557 Å, c = 13.433 Å
α = 99.13°, β = 99.13°, γ = 60.36°
Element x y z (fractional)
Na (0.000, 0.000, 0.000)
Na (0.328, 0.328, 0.448)
Na (0.367, 0.367, 0.183)
Na (0.633, 0.633, 0.817)
Na (0.672, 0.672, 0.552)
Sn (0.276, 0.276, 0.694)
Sn (0.724, 0.724, 0.306)
Pb (0.000, 0.000, 0.500)
Pb (0.047, 0.047, 0.260)
Pb (0.317, 0.317, 0.935)
Pb (0.683, 0.683, 0.065)
Pb (0.953, 0.953, 0.740)

Summary:
Density   6505 kg/m³
Energy relative to the lowest polymorph listed for this composition   4.2 meV per atom
N(E_F)   0.364 states/eV per atom
Magnetic moment   0.00 μB per formula unit
Energy of formation from the pure elements   -0.11 eV/atom

(5)
Density functional theory data (PBE-GGA) for a relaxed structure of NaSn3Pb7.

a = 6.947 Å, b = 6.947 Å, c = 8.257 Å
α = 90.00°, β = 90.00°, γ = 120.00°
Element x y z (fractional)
Na (0.000, 0.000, 0.000)
Sn (0.314, 0.157, 0.656)
Sn (0.843, 0.157, 0.656)
Sn (0.843, 0.686, 0.656)
Pb (0.003, 0.501, 0.969)
Pb (0.171, 0.342, 0.335)
Pb (0.171, 0.829, 0.335)
Pb (0.499, 0.501, 0.969)
Pb (0.499, 0.997, 0.969)
Pb (0.658, 0.829, 0.335)
Pb (0.667, 0.333, 0.333)

Summary:
Density   8804 kg/m³
N(E_F)   0.528 states/eV per atom
Magnetic moment   0.00 μB per formula unit
Energy of formation from the pure elements   0.02 eV/atom

(6)
Density functional theory data (PBE-GGA) for a relaxed structure of Na2SnPb2.

a = 6.915 Å, b = 6.915 Å, c = 7.659 Å
α = 104.46°, β = 104.46°, γ = 62.95°
Element x y z (fractional)
Na (0.063, 0.271, 0.143)
Na (0.271, 0.063, 0.643)
Na (0.729, 0.937, 0.357)
Na (0.937, 0.729, 0.857)
Sn (0.234, 0.766, 0.250)
Sn (0.766, 0.234, 0.750)
Pb (0.284, 0.503, 0.554)
Pb (0.497, 0.716, 0.946)
Pb (0.503, 0.284, 0.054)
Pb (0.716, 0.497, 0.446)

Summary:
Density   6166 kg/m³
Energy relative to the lowest polymorph listed for this composition   26.0 meV per atom
N(E_F)   0.232 states/eV per atom
Magnetic moment   0.00 μB per formula unit
Energy of formation from the pure elements   -0.11 eV/atom

Copy entry 2 word for word.
Density functional theory data (PBE-GGA) for a relaxed structure of NaSn2Pb5.

a = 6.799 Å, b = 6.799 Å, c = 6.799 Å
α = 105.97°, β = 105.97°, γ = 116.72°
Element x y z (fractional)
Na (0.000, 0.000, 0.000)
Sn (0.000, 0.500, 0.500)
Sn (0.500, 0.000, 0.500)
Pb (0.499, 0.499, 0.000)
Pb (0.500, 0.500, 0.500)
Pb (0.500, 0.999, 0.000)
Pb (0.999, 0.500, 0.000)
Pb (0.999, 0.999, 0.500)

Summary:
Density   9007 kg/m³
Energy relative to the lowest polymorph listed for this composition   0.0 meV per atom
N(E_F)   0.462 states/eV per atom
Magnetic moment   0.00 μB per formula unit
Energy of formation from the pure elements   0.00 eV/atom

Question: What is the N(E_F) in the third record?
Answer: 0.474 states/eV per atom

Question: Among the records above, which one has the lowest N(E_F)?
Answer: Na2SnPb2

Question: Number 3 is which compound?
Answer: Na3Sn4Pb4